The following is a GGA-PBE calculation of a geometry-optimized RbHfSi2 structure, from OQMD.

Cell: 4.1421 4.1421 5.8220 Å, 90.00 90.00 90.00°
Fractional coordinates of all 4 atoms:
Rb 0.0000 0.0000 0.0000
Hf 0.5000 0.5000 0.5000
Si 0.0000 0.0000 0.5000
Si 0.5000 0.5000 0.0000

Computed properties:
The value obtained for the total energy is -18.430 eV per cell. As for the space group: No. 123.


The following is a GGA-PBE calculation of a geometry-optimized RbSmHf structure, from OQMD.

Cell: 5.7271 5.7271 5.7271 Å, 60.00 60.00 60.00°
Fractional coordinates of all 3 atoms:
Rb 0.0000 0.0000 0.0000
Sm 0.5000 0.5000 0.5000
Hf 0.2500 0.2500 0.2500

Computed properties:
As for the space group: No. 216. The value obtained for the energy above the most stable polymorph in this dataset is 0 meV per atom.


The following is a GGA-PBE calculation of a geometry-optimized RbSmHfTe3 structure, from OQMD.

Cell: 8.7155 8.7155 11.6638 Å, 90.00 90.00 149.90°
Fractional coordinates of all 12 atoms:
Rb 0.2477 0.7523 0.7500
Rb 0.7523 0.2477 0.2500
Sm 0.5000 0.5000 0.0000
Sm 0.5000 0.5000 0.5000
Hf 0.0302 0.9698 0.2500
Hf 0.9698 0.0302 0.7500
Te 0.1271 0.8729 0.0571
Te 0.1271 0.8729 0.4429
Te 0.4285 0.5715 0.2500
Te 0.5715 0.4285 0.7500
Te 0.8729 0.1271 0.5571
Te 0.8729 0.1271 0.9429

Computed properties:
The value obtained for the total energy is -62.046 eV per cell. As for the space group: No. 63.


| no. | total magnetic moment (μB/cell) |
| --- | --- |
| 1 | 0.10 |
| 2 | 4.39 |
| 3 | 0.65 |